1.
This record from Alexandria via LeMat-Bulk describes a relaxed Ho2PtI crystal. The functional is GGA-PBE.

Computed properties:
Final energy = -0.195 Ha/atom
Formation energy without anion corrections = -1.116 eV/atom
Fermi-level density of states = 2.6 states/eV/cell
Spin magnetization = 0.000 μB per cell
Energy relative to the lowest polymorph listed for this composition = 0.014 eV per atom

Cell: 4.1896 4.1896 8.2851 Å, 90.27 90.27 59.99°
With the nearest neighbours (Å) after each atom.
Element x y z (fractional)
Ho 0.8734 0.8734 0.0952  3 Pt 2.77
Ho 0.2089 0.2089 0.4347  3 Pt 2.83
Pt 0.5410 0.5410 0.2579  6 Ho 2.77-2.83
I 0.8768 0.8768 0.7123  4 Ho 3.17-3.34

***

2.
This record from Alexandria via LeMat-Bulk describes a relaxed Ho2PtI crystal. The functional is GGA-PBE.

Computed properties:
Final energy = -0.195 Ha/atom
Formation energy without anion corrections = -1.129 eV/atom
Fermi-level density of states = 2.7 states/eV/cell
Spin magnetization = 0.000 μB per cell
Energy relative to the lowest polymorph listed for this composition = 0.000 eV per atom

Cell: 4.1362 4.1362 8.2152 Å, 75.42 75.42 60.00°
With the nearest neighbours (Å) after each atom.
Element x y z (fractional)
I 0.5000 0.5000 0.5000  6 Ho 3.45
Ho 0.2722 0.2722 0.1833  3 Pt 2.79
Ho 0.7278 0.7278 0.8167  3 Pt 2.79
Pt 0.0000 0.0000 0.0000  6 Ho 2.79

***

3.
This record from Alexandria via LeMat-Bulk describes a relaxed SmHoPtI crystal. The functional is GGA-PBE.

Computed properties:
Final energy = -0.196 Ha/atom
Formation energy without anion corrections = -1.112 eV/atom
Fermi-level density of states = 2.9 states/eV/cell
Spin magnetization = 0.000 μB per cell

Cell: 4.1814 4.1809 8.3475 Å, 90.00 104.51 120.00°
With the nearest neighbours (Å) after each atom.
Element x y z (fractional)
Sm 0.5145 0.1552 0.6849  3 Pt 2.85
Ho 0.0915 0.9436 0.0504  3 Pt 2.79
Pt 0.3081 0.5520 0.8753  3 Ho 2.79, 3 Sm 2.85
I 0.9638 0.3800 0.3591  3 Ho 3.45, 3 Sm 3.55

***

4.
This record from Alexandria via LeMat-Bulk describes a relaxed Ho2PuI crystal. The functional is GGA-PBE.

Computed properties:
Final energy = -0.237 Ha/atom
Formation energy without anion corrections = -0.178 eV/atom
Fermi-level density of states = 8.4 states/eV/cell
Spin magnetization = 6.211 μB per cell
Energy relative to the lowest polymorph listed for this composition = 0.000 eV per atom

Cell: 3.5876 3.5876 9.3758 Å, 90.00 90.00 90.00°
With the nearest neighbours (Å) after each atom.
Element x y z (fractional)
I 0.5000 0.5000 0.5000  8 Ho 3.46, 4 I 3.59
Ho 0.0000 0.0000 0.7507  4 Pu 3.45, 4 I 3.46, 4 Ho 3.59
Ho 0.0000 0.0000 0.2493  4 Pu 3.45, 4 I 3.46, 4 Ho 3.59
Pu 0.5000 0.5000 0.0000  8 Ho 3.45, 4 Pu 3.59